Entry 1:
# GGA-PBE Th3InNi4, optimized geometry
# Mass density in g/cm3: 10.12
# Crystal system: monoclinic
data_Th3InNi4
_chemical_formula_sum 'Th6 In2 Ni8'
_cell_length_a 15.970
_cell_length_b 3.769
_cell_length_c 6.175
_cell_angle_alpha 90.00
_cell_angle_beta 112.61
_cell_angle_gamma 90.00
_symmetry_space_group_name_H-M 'C 1 2/m 1'
_symmetry_Int_Tables_number 12
_symmetry_space_group_name_Hall '-C 2y'
loop_
_atom_site_label
_atom_site_type_symbol
_atom_site_fract_x
_atom_site_fract_y
_atom_site_fract_z
Th1 Th 0.000 0.000 0.000
Th2 Th 0.194 0.000 0.694
In1 In 0.000 0.500 0.500
Ni1 Ni 0.128 0.500 0.322
Ni2 Ni 0.128 0.500 0.933


Entry 2:
# GGA-PBE ScTl, optimized geometry
# Mass density in g/cm3: 8.31
# Crystal system: trigonal
data_ScTl
_chemical_formula_sum 'Sc3 Tl3'
_cell_length_a 3.5074
_cell_length_b 3.5074
_cell_length_c 14.0327
_cell_angle_alpha 90.00
_cell_angle_beta 90.00
_cell_angle_gamma 120.00
_symmetry_space_group_name_H-M 'R -3 m'
_symmetry_Int_Tables_number 166
_symmetry_space_group_name_Hall '-R 3 2"'
loop_
_atom_site_label
_atom_site_type_symbol
_atom_site_fract_x
_atom_site_fract_y
_atom_site_fract_z
Sc1 Sc 0.0000 0.0000 0.0000
Tl1 Tl 0.0000 0.0000 0.5000


Entry 3:
# GGA-PBE ZrAl2Hg, optimized geometry
# Mass density in g/cm3: 7.36
# Crystal system: orthorhombic
data_ZrAl2Hg
_chemical_formula_sum 'Zr2 Al4 Hg2'
_cell_length_a 4.407
_cell_length_b 5.043
_cell_length_c 7.023
_cell_angle_alpha 90.00
_cell_angle_beta 90.00
_cell_angle_gamma 90.00
_symmetry_space_group_name_H-M 'C m m m'
_symmetry_Int_Tables_number 65
_symmetry_space_group_name_Hall '-C 2 2'
loop_
_atom_site_label
_atom_site_type_symbol
_atom_site_fract_x
_atom_site_fract_y
_atom_site_fract_z
Zr1 Zr 0.000 0.000 0.000
Al1 Al 0.000 0.500 0.259
Hg1 Hg 0.000 0.000 0.500


Formation energy from the elements: -33.5, -18.4, -10.4 (kJ per mole of atoms)